1) A plane-wave DFT calculation with PBE was carried out for CsNa6Tl after structural relaxation.

abc: 5.642 5.642 11.383
angles: 90.00 90.00 90.00
Sites, in units of the cell vectors:
Cs (0.000, 0.000, 0.000)
Na (0.000, 0.500, 0.350)
Na (0.000, 0.500, 0.650)
Na (0.500, 0.000, 0.350)
Na (0.500, 0.000, 0.650)
Na (0.500, 0.500, 0.153)
Na (0.500, 0.500, 0.847)
Tl (0.000, 0.000, 0.500)

Computed properties:
The crystal system is tetragonal. The value obtained for the magnetization is 0.00 μB per atom. The space-group type is P4/mmm. The theoretical density comes out at 2.178 g/cm3.

=====

2) A plane-wave DFT calculation with PBE was carried out for CsNa6Tl after structural relaxation.

abc: 12.747 12.747 12.747
angles: 25.90 25.90 25.90
Sites, in units of the cell vectors:
Cs (0.000, 0.000, 0.000)
Na (0.136, 0.136, 0.136)
Na (0.228, 0.228, 0.228)
Na (0.411, 0.411, 0.411)
Na (0.589, 0.589, 0.589)
Na (0.772, 0.772, 0.772)
Na (0.864, 0.864, 0.864)
Tl (0.500, 0.500, 0.500)

Computed properties:
The crystal system is trigonal. The value obtained for the magnetization is 0.00 μB per atom. The space-group type is R-3m. The theoretical density comes out at 2.267 g/cm3.

=====

Which of them is least stable? Easy: 1).

=====

1) A plane-wave DFT calculation with PBE was carried out for CsNaTl4 after structural relaxation.

abc: 3.960 3.960 13.042
angles: 90.00 90.00 90.00
Sites, in units of the cell vectors:
Cs (0.000, 0.000, 0.000)
Na (0.500, 0.500, 0.500)
Tl (0.000, 0.000, 0.360)
Tl (0.000, 0.000, 0.640)
Tl (0.500, 0.500, 0.218)
Tl (0.500, 0.500, 0.782)

Computed properties:
The crystal system is tetragonal. The value obtained for the magnetization is 0.00 μB per atom. The space-group type is P4/mmm. The theoretical density comes out at 7.905 g/cm3.

=====

2) A plane-wave DFT calculation with PBE was carried out for CsNaTl4 after structural relaxation.

abc: 6.746 6.746 6.746
angles: 60.00 60.00 60.00
Sites, in units of the cell vectors:
Cs (0.000, 0.000, 0.000)
Na (0.250, 0.250, 0.250)
Tl (0.128, 0.624, 0.624)
Tl (0.624, 0.128, 0.624)
Tl (0.624, 0.624, 0.128)
Tl (0.624, 0.624, 0.624)

Computed properties:
The crystal system is cubic. The value obtained for the magnetization is 0.00 μB per atom. The space-group type is F-43m. The theoretical density comes out at 7.445 g/cm3.

=====

3) A plane-wave DFT calculation with PBE was carried out for CsNaTl4 after structural relaxation.

abc: 9.944 9.944 6.311
angles: 103.42 103.42 49.15
Sites, in units of the cell vectors:
Cs (0.217, 0.217, 0.130)
Cs (0.783, 0.783, 0.870)
Na (0.446, 0.446, 0.236)
Na (0.554, 0.554, 0.764)
Tl (0.092, 0.720, 0.462)
Tl (0.190, 0.810, 0.000)
Tl (0.280, 0.908, 0.538)
Tl (0.367, 0.367, 0.719)
Tl (0.633, 0.633, 0.281)
Tl (0.720, 0.092, 0.462)
Tl (0.810, 0.190, 0.000)
Tl (0.908, 0.280, 0.538)

Computed properties:
The crystal system is monoclinic. The value obtained for the magnetization is 0.00 μB per atom. The space-group type is C2/m. The theoretical density comes out at 7.085 g/cm3.

=====

Which of them is least stable? Easy: 3).

=====

1) A plane-wave DFT calculation with PBE was carried out for Cs2Na6Tl after structural relaxation.

abc: 7.985 7.985 8.008
angles: 103.32 103.32 59.48
Sites, in units of the cell vectors:
Cs (0.141, 0.141, 0.351)
Cs (0.859, 0.859, 0.649)
Na (0.125, 0.607, 0.180)
Na (0.389, 0.389, 0.811)
Na (0.393, 0.875, 0.820)
Na (0.607, 0.125, 0.180)
Na (0.611, 0.611, 0.189)
Na (0.875, 0.393, 0.820)
Tl (0.500, 0.500, 0.500)

Computed properties:
The crystal system is monoclinic. The value obtained for the magnetization is 0.00 μB per atom. The space-group type is C2/m. The theoretical density comes out at 2.381 g/cm3.

=====

2) A plane-wave DFT calculation with PBE was carried out for Cs2Na6Tl after structural relaxation.

abc: 9.275 9.275 5.757
angles: 90.00 90.00 99.31
Sites, in units of the cell vectors:
Cs (0.201, 0.799, 0.000)
Cs (0.799, 0.201, 0.000)
Na (0.149, 0.410, 0.500)
Na (0.358, 0.358, 0.000)
Na (0.410, 0.149, 0.500)
Na (0.590, 0.851, 0.500)
Na (0.642, 0.642, 0.000)
Na (0.851, 0.590, 0.500)
Tl (0.500, 0.500, 0.500)

Computed properties:
The crystal system is orthorhombic. The value obtained for the magnetization is 0.00 μB per atom. The space-group type is Cmmm. The theoretical density comes out at 2.066 g/cm3.

=====

Which of them is least stable? Easy: 2).

=====

1) A plane-wave DFT calculation with PBE was carried out for CsNa2TlZn after structural relaxation.

abc: 6.103 6.103 5.584
angles: 90.00 90.00 90.00
Sites, in units of the cell vectors:
Cs (0.000, 0.000, 0.000)
Na (0.000, 0.500, 0.500)
Na (0.500, 0.000, 0.500)
Tl (0.500, 0.500, 0.500)
Zn (0.500, 0.500, 0.000)

Computed properties:
The crystal system is tetragonal. The value obtained for the magnetization is 0.00 μB per atom. The space-group type is P4/mmm. The theoretical density comes out at 3.582 g/cm3.

=====

2) A plane-wave DFT calculation with PBE was carried out for CsNa2TlZn after structural relaxation.

abc: 5.978 5.978 5.496
angles: 90.00 90.00 90.00
Sites, in units of the cell vectors:
Cs (0.000, 0.000, 0.000)
Na (0.000, 0.500, 0.500)
Na (0.500, 0.000, 0.500)
Tl (0.500, 0.500, 0.000)
Zn (0.500, 0.500, 0.500)

Computed properties:
The crystal system is tetragonal. The value obtained for the magnetization is 0.00 μB per atom. The space-group type is P4/mmm. The theoretical density comes out at 3.792 g/cm3.

=====

Which of them is least stable? Easy: 1).